## NaTm2Sc3Se6 (PBE)

Data for a geometry-optimized NaTm2Sc3Se6 structure.

VASP energy in eV/cell: -69.69
Theoretical density in g/cm3: 6.09
Volume in A^3/atom: 22.0
Spin magnetization in μB/cell: 0.00

abc: 3.9394 7.9835 8.8727
angles: 103.43 102.83 90.00
Fractional coordinates of all 12 atoms:
Sc 0.1629 0.8194 0.3259
Na 0.5000 0.0000 0.0000
Sc 0.5000 0.5000 0.0000
Sc 0.8371 0.1806 0.6741
Se 0.3358 0.4137 0.6715
Tm 0.8337 0.6637 0.6673
Se 0.6718 0.0772 0.3435
Se 0.0008 0.7405 0.0016
Tm 0.1663 0.3363 0.3327
Se 0.6642 0.5863 0.3285
Se 0.9992 0.2595 0.9984
Se 0.3282 0.9228 0.6565



## Na3Tm3ScSe8 (PBE)

Data for a geometry-optimized Na3Tm3ScSe8 structure.

VASP energy in eV/cell: -75.49
Theoretical density in g/cm3: 5.22
Volume in A^3/atom: 26.5
Spin magnetization in μB/cell: 0.00

abc: 8.0413 8.0448 8.4914
angles: 118.32 90.00 119.99
Fractional coordinates of all 15 atoms:
Se 0.2513 0.0154 0.2798
Se 0.7641 0.0154 0.2798
Tm 0.0000 0.5000 0.5000
Tm 0.5000 0.5000 0.5000
Se 0.7429 0.4858 0.7286
Na 0.0000 0.5000 0.0000
Se 0.2571 0.5142 0.2714
Na 0.0000 0.0000 0.0000
Se 0.2359 0.4717 0.7202
Tm 0.5000 0.0000 0.5000
Na 0.5000 0.5000 0.0000
Se 0.7487 0.9846 0.7202
Se 0.2359 0.9846 0.7202
Se 0.7641 0.5283 0.2798
Sc 0.0000 0.0000 0.5000



## Na2ScUSe4 (PBE)

Data for a geometry-optimized Na2ScUSe4 structure.

VASP energy in eV/cell: -45.11
Theoretical density in g/cm3: 5.38
Volume in A^3/atom: 24.9
Spin magnetization in μB/cell: 3.01

abc: 4.0483 6.9913 7.4141
angles: 108.33 90.00 90.00
Fractional coordinates of all 8 atoms:
Se 0.5000 0.2304 0.2227
Se 0.0000 0.7550 0.2307
Na 0.0000 0.5000 0.5000
Sc 0.0000 0.0000 0.0000
U 0.5000 0.5000 0.0000
Se 0.0000 0.2450 0.7693
Na 0.5000 0.0000 0.5000
Se 0.5000 0.7696 0.7773



## Na3Sc3USe8 (PBE)

Data for a geometry-optimized Na3Sc3USe8 structure.

VASP energy in eV/cell: -84.44
Theoretical density in g/cm3: 4.66
Volume in A^3/atom: 25.5
Spin magnetization in μB/cell: 2.00

abc: 7.9320 7.9331 8.3808
angles: 118.25 90.00 120.00
Fractional coordinates of all 15 atoms:
Na 0.0000 0.0000 0.0000
Sc 0.5000 0.5000 0.5000
Se 0.7543 0.0247 0.2800
U 0.0000 0.0000 0.5000
Se 0.2457 0.9753 0.7200
Se 0.7543 0.5086 0.2794
Se 0.2603 0.5205 0.2820
Se 0.7397 0.4795 0.7180
Na 0.5000 0.5000 0.0000
Se 0.2457 0.4914 0.7206
Se 0.7296 0.9753 0.7200
Sc 0.5000 0.0000 0.5000
Na 0.0000 0.5000 0.0000
Sc 0.0000 0.5000 0.5000
Se 0.2704 0.0247 0.2800



## Na2Sc2USe6 (PBE)

Data for a geometry-optimized Na2Sc2USe6 structure.

VASP energy in eV/cell: -63.47
Theoretical density in g/cm3: 4.83
Volume in A^3/atom: 26.5
Spin magnetization in μB/cell: 2.00

abc: 6.9053 6.9053 7.4296
angles: 98.85 98.85 120.19
Fractional coordinates of all 11 atoms:
Se 0.2700 0.2700 0.2817
Na 0.1652 0.8348 0.0000
Se 0.7300 0.7300 0.7183
Sc 0.6670 0.3330 0.5000
U 0.0000 0.0000 0.5000
Se 0.9285 0.5857 0.2813
Se 0.5857 0.9285 0.2813
Se 0.4143 0.0715 0.7187
Se 0.0715 0.4143 0.7187
Sc 0.3330 0.6670 0.5000
Na 0.8348 0.1652 0.0000



## Na3Sc2USe6 (PBE)

Data for a geometry-optimized Na3Sc2USe6 structure.

VASP energy in eV/cell: -66.00
Theoretical density in g/cm3: 4.91
Volume in A^3/atom: 24.5
Spin magnetization in μB/cell: 3.02

abc: 6.9622 6.9622 7.3887
angles: 99.06 99.06 120.02
Fractional coordinates of all 12 atoms:
Na 0.8353 0.1647 0.5000
Se 0.9251 0.5789 0.7760
Se 0.4211 0.0749 0.2240
Se 0.7286 0.7286 0.2243
Na 0.1647 0.8353 0.5000
U 0.0000 0.0000 0.0000
Na 0.5000 0.5000 0.5000
Se 0.5789 0.9251 0.7760
Sc 0.3330 0.6670 0.0000
Sc 0.6670 0.3330 0.0000
Se 0.0749 0.4211 0.2240
Se 0.2714 0.2714 0.7757



## NaSc4USe8 (PBE)

Data for a geometry-optimized NaSc4USe8 structure.

VASP energy in eV/cell: -86.36
Theoretical density in g/cm3: 4.67
Volume in A^3/atom: 27.2
Spin magnetization in μB/cell: 2.99

abc: 8.0724 8.0724 8.2088
angles: 60.55 60.55 60.00
Fractional coordinates of all 14 atoms:
Na 0.3705 0.3705 0.8885
Se 0.2467 0.2467 0.7248
Se 0.7484 0.2340 0.2692
Sc 0.4855 0.0054 0.5037
Sc 0.0054 0.4855 0.5037
Sc 0.0054 0.0054 0.5037
Se 0.7484 0.7484 0.2692
Se 0.7591 0.7591 0.7226
U 0.0025 0.0025 0.9926
Se 0.2467 0.7818 0.7248
Se 0.2340 0.7484 0.2692
Se 0.2371 0.2371 0.2887
Se 0.7818 0.2467 0.7248
Sc 0.6285 0.6285 0.1145



## NaScV2Se (PBE)

Data for a geometry-optimized NaScV2Se structure.

VASP energy in eV/cell: -22.38
Theoretical density in g/cm3: 3.57
Volume in A^3/atom: 23.2
Spin magnetization in μB/cell: 4.08

abc: 4.6468 5.3607 4.6468
angles: 90.00 90.00 90.00
Fractional coordinates of all 5 atoms:
V 0.5000 0.0000 0.0000
V 0.0000 0.0000 0.5000
Se 0.5000 0.5000 0.5000
Sc 0.0000 0.0000 0.0000
Na 0.0000 0.5000 0.0000